VASP calculation (PBE) on crystalline SrCa2La at its relaxed geometry.

Cell: 3.801 3.801 12.787 Å, 90.00 90.00 111.02°
Fractional positions:
Sr 0.500 0.500 0.748
Ca 0.000 0.000 0.007
Ca 0.500 0.500 0.252
La 0.000 0.000 0.493

Summary:
space-group type: Cmm2
calculated total energy: -10.26 eV for the cell shown